[1]
! Li2ZrAl meta-GGA SCAN single point on PBEsol structure; values from VASP
! **ΔH_f (0 K)**: 71 meV/atom
&SYSTEM
  ibrav = 0, nat = 4, ntyp = 3
/
ATOMIC_SPECIES
Li 6.94 Li.upf
Zr 91.22 Zr.upf
Al 26.98 Al.upf
CELL_PARAMETERS angstrom
2.753 0.000 0.000
0.000 4.444 0.000
0.000 0.000 5.787
ATOMIC_POSITIONS crystal
Li 0.000 0.000 0.276
Li 0.000 0.000 0.724
Zr 0.500 0.500 0.000
Al 0.500 0.500 0.500

[2]
! Ba2InAg meta-GGA SCAN single point on PBEsol structure; values from VASP
! **ΔH_f (0 K)**: -319 meV/atom
&SYSTEM
  ibrav = 0, nat = 4, ntyp = 3
/
ATOMIC_SPECIES
In 114.82 In.upf
Ag 107.87 Ag.upf
Ba 137.33 Ba.upf
CELL_PARAMETERS angstrom
3.991 0.000 0.000
0.000 5.739 -0.170
-1.995 -2.689 5.899
ATOMIC_POSITIONS crystal
In 0.452 0.453 0.905
Ag 0.785 0.284 0.571
Ba 0.227 0.727 0.454
Ba 0.035 0.036 0.070

[3]
! CrCu2W meta-GGA SCAN single point on PBEsol structure; values from VASP
! **ΔH_f (0 K)**: 369 meV/atom
&SYSTEM
  ibrav = 0, nat = 4, ntyp = 3
/
ATOMIC_SPECIES
Cu 63.55 Cu.upf
W 183.84 W.upf
Cr 52.00 Cr.upf
CELL_PARAMETERS angstrom
-0.732 -2.402 -0.248
1.195 -0.751 3.745
-4.484 1.193 1.671
ATOMIC_POSITIONS crystal
Cu 0.000 0.000 0.256
Cu 0.000 0.000 0.744
W 0.500 0.500 0.000
Cr 0.500 0.500 0.500

[4]
! Hg2RhW meta-GGA SCAN single point on PBEsol structure; values from VASP
! **ΔH_f (0 K)**: 615 meV/atom
! **Polymorph energy (0 for the lowest one)**: 0.0 meV/atom
&SYSTEM
  ibrav = 0, nat = 4, ntyp = 3
/
ATOMIC_SPECIES
Hg 200.59 Hg.upf
Rh 102.91 Rh.upf
W 183.84 W.upf
CELL_PARAMETERS angstrom
-0.854 1.461 -2.338
-0.042 -4.757 -1.176
-4.661 0.433 1.974
ATOMIC_POSITIONS crystal
Hg 0.752 0.504 0.754
Hg 0.248 0.496 0.246
Rh 0.500 0.000 0.000
W 0.000 0.000 0.500